! MnCdH2F8 (PBE+U, relaxed); values from VASP
! M_tot (μB per atom): 0.24
! Calculated total energy (eV/f.u.): -53.5
&SYSTEM
  ibrav = 0, nat = 12, ntyp = 4
/
ATOMIC_SPECIES
Mn 54.94 Mn.upf
Cd 112.41 Cd.upf
H 1.01 H.upf
F 19.00 F.upf
CELL_PARAMETERS angstrom
5.068 0.000 0.000
1.649 4.799 0.000
0.330 0.180 6.504
ATOMIC_POSITIONS crystal
Mn 0.000 0.000 0.000
Cd 0.000 0.000 0.500
H 0.266 0.266 0.733
H 0.734 0.734 0.267
F 0.195 0.768 0.792
F 0.222 0.222 0.945
F 0.232 0.806 0.205
F 0.271 0.270 0.577
F 0.729 0.730 0.423
F 0.768 0.194 0.795
F 0.778 0.778 0.055
F 0.805 0.232 0.208